<w>
## Ac8Pr2Y (PBE)

Data for crystalline Ac8Pr2Y at its relaxed geometry.

Cell lengths 9.180, 9.180, 6.334 Å; angles 100.33, 100.33, 87.01 degrees
Positions (direct):
Ac1 0.084 0.084 0.291
Ac2 0.157 0.642 0.200
Ac3 0.232 0.232 0.883
Ac4 0.358 0.843 0.800
Ac5 0.642 0.157 0.200
Ac6 0.768 0.768 0.117
Ac7 0.843 0.358 0.800
Ac8 0.916 0.916 0.709
Pr1 0.370 0.370 0.484
Pr2 0.630 0.630 0.516
Y1 0.500 0.500 0.000

Properties
For the spin magnetization, the calculation gives 0.000 μB per atom. As for the symmetry: C2/m (12).

=====

<x>
## Ac8Pr2Y (PBE)

Data for crystalline Ac8Pr2Y at its relaxed geometry.

Cell lengths 10.288, 10.288, 8.727 Å; angles 104.78, 104.78, 31.41 degrees
Positions (direct):
Ac1 0.047 0.047 0.229
Ac2 0.137 0.137 0.686
Ac3 0.319 0.319 0.586
Ac4 0.407 0.407 0.049
Ac5 0.593 0.593 0.951
Ac6 0.681 0.681 0.414
Ac7 0.863 0.863 0.314
Ac8 0.953 0.953 0.771
Pr1 0.226 0.226 0.134
Pr2 0.774 0.774 0.866
Y1 0.500 0.500 0.500

Properties
For the spin magnetization, the calculation gives 0.000 μB per atom. As for the symmetry: C2/m (12).

=====

Name the most stable of them. <x>.

=====

<w>
## Ac2Pr4Y5 (PBE)

Data for crystalline Ac2Pr4Y5 at its relaxed geometry.

Cell lengths 9.756, 9.756, 11.067 Å; angles 93.49, 93.49, 21.96 degrees
Positions (direct):
Ac1 0.093 0.093 0.452
Ac2 0.907 0.907 0.548
Pr1 0.182 0.182 0.911
Pr2 0.453 0.453 0.265
Pr3 0.547 0.547 0.735
Pr4 0.818 0.818 0.089
Y1 0.000 0.000 0.000
Y2 0.270 0.270 0.359
Y3 0.363 0.363 0.826
Y4 0.637 0.637 0.174
Y5 0.730 0.730 0.641

Properties
For the spin magnetization, the calculation gives 0.000 μB per atom. As for the symmetry: C2/m (12).

=====

<x>
## Ac2Pr4Y5 (PBE)

Data for crystalline Ac2Pr4Y5 at its relaxed geometry.

Cell lengths 7.402, 7.402, 10.901 Å; angles 121.75, 121.75, 55.88 degrees
Positions (direct):
Ac1 0.066 0.066 0.241
Ac2 0.934 0.934 0.759
Pr1 0.259 0.259 0.024
Pr2 0.387 0.387 0.626
Pr3 0.613 0.613 0.374
Pr4 0.741 0.741 0.976
Y1 0.083 0.605 0.333
Y2 0.395 0.917 0.667
Y3 0.500 0.500 0.000
Y4 0.605 0.083 0.333
Y5 0.917 0.395 0.667

Properties
For the spin magnetization, the calculation gives 0.000 μB per atom. As for the symmetry: C2/m (12).

=====

Name the most stable of them. <w>.

=====

<w>
## AcPr2Y5 (PBE)

Data for crystalline AcPr2Y5 at its relaxed geometry.

Cell lengths 7.301, 14.626, 5.187 Å; angles 90.00, 90.00, 90.00 degrees
Positions (direct):
Ac1 0.000 0.000 0.000
Ac2 0.500 0.500 0.000
Pr1 0.243 0.372 0.500
Pr2 0.257 0.872 0.500
Pr3 0.743 0.128 0.500
Pr4 0.757 0.628 0.500
Y1 0.000 0.500 0.000
Y2 0.006 0.747 0.000
Y3 0.248 0.127 0.500
Y4 0.252 0.627 0.500
Y5 0.494 0.247 0.000
Y6 0.500 0.000 0.000
Y7 0.506 0.753 0.000
Y8 0.748 0.373 0.500
Y9 0.752 0.873 0.500
Y10 0.994 0.253 0.000

Properties
For the spin magnetization, the calculation gives 0.000 μB per atom. As for the symmetry: Pbam (55).

=====

<x>
## AcPr2Y5 (PBE)

Data for crystalline AcPr2Y5 at its relaxed geometry.

Cell lengths 7.291, 20.538, 7.348 Å; angles 90.00, 90.00, 90.00 degrees
Positions (direct):
Ac1 0.246 0.126 0.000
Ac2 0.254 0.626 0.000
Ac3 0.746 0.374 0.000
Ac4 0.754 0.874 0.000
Pr1 0.000 0.500 0.254
Pr2 0.000 0.500 0.746
Pr3 0.246 0.126 0.500
Pr4 0.254 0.626 0.500
Pr5 0.500 0.000 0.254
Pr6 0.500 0.000 0.746
Pr7 0.746 0.374 0.500
Pr8 0.754 0.874 0.500
Y1 0.000 0.000 0.254
Y2 0.000 0.000 0.746
Y3 0.004 0.750 0.254
Y4 0.004 0.750 0.746
Y5 0.247 0.374 0.000
Y6 0.248 0.374 0.500
Y7 0.252 0.874 0.500
Y8 0.253 0.874 0.000
Y9 0.496 0.250 0.254
Y10 0.496 0.250 0.746
Y11 0.500 0.500 0.254
Y12 0.500 0.500 0.746
Y13 0.504 0.750 0.254
Y14 0.504 0.750 0.746
Y15 0.747 0.126 0.000
Y16 0.748 0.126 0.500
Y17 0.752 0.626 0.500
Y18 0.753 0.626 0.000
Y19 0.996 0.250 0.254
Y20 0.996 0.250 0.746

Properties
For the spin magnetization, the calculation gives 0.000 μB per atom. As for the symmetry: Pbam (55).

=====

Name the most stable of them. <x>.

=====

<w>
## AcPr2Y7 (PBE)

Data for crystalline AcPr2Y7 at its relaxed geometry.

Cell lengths 9.318, 9.318, 5.664 Å; angles 90.00, 90.00, 123.60 degrees
Positions (direct):
Ac1 0.000 0.000 0.000
Pr1 0.298 0.702 0.500
Pr2 0.702 0.298 0.500
Y1 0.061 0.295 0.500
Y2 0.224 0.776 0.000
Y3 0.295 0.061 0.500
Y4 0.500 0.500 0.500
Y5 0.705 0.939 0.500
Y6 0.776 0.224 0.000
Y7 0.939 0.705 0.500

Properties
For the spin magnetization, the calculation gives 0.000 μB per atom. As for the symmetry: Cmmm (65).

=====

<x>
## AcPr2Y7 (PBE)

Data for crystalline AcPr2Y7 at its relaxed geometry.

Cell lengths 9.525, 9.525, 9.525 Å; angles 146.56, 130.38, 61.16 degrees
Positions (direct):
Ac1 0.000 0.000 0.000
Pr1 0.211 0.211 0.000
Pr2 0.789 0.789 0.000
Y1 0.068 0.361 0.707
Y2 0.345 0.639 0.707
Y3 0.346 0.846 0.500
Y4 0.500 0.500 0.000
Y5 0.654 0.154 0.500
Y6 0.655 0.361 0.293
Y7 0.932 0.639 0.293

Properties
For the spin magnetization, the calculation gives 0.073 μB per atom. As for the symmetry: Immm (71).

=====

Name the most stable of them. <x>.